[1]
# GGA-PBE Ce4CSCl2, optimized geometry
data_Ce4CSCl2
_space_group_name_H-M_alt 'P 1'
_space_group_IT_number 1
_space_group_name_Hall 'P 1'
_cell_length_a 3.8523
_cell_length_b 6.8319
_cell_length_c 7.0342
_cell_angle_alpha 108.01
_cell_angle_beta 90.00
_cell_angle_gamma 90.00
loop_
_atom_site_label
_atom_site_type_symbol
_atom_site_fract_x
_atom_site_fract_y
_atom_site_fract_z
Ce1 Ce 0.5000 0.2628 0.2230
Ce2 Ce 0.5000 0.7372 0.7770
Ce3 Ce 0.0000 0.2844 0.7906
Ce4 Ce 0.0000 0.7156 0.2094
C1 C 0.5000 0.5000 0.0000
S1 S 0.0000 0.0000 0.0000
Cl1 Cl 0.5000 0.0000 0.5000
Cl2 Cl 0.0000 0.5000 0.5000
# Calculated total energy ... -51.59 eV/cell
# Uncorrected formation energy ... -1351 meV per atom

---

[2]
# GGA-PBE Ce3CSeCl, optimized geometry
data_Ce3CSeCl
_space_group_name_H-M_alt 'P 1'
_space_group_IT_number 1
_space_group_name_Hall 'P 1'
_cell_length_a 3.6924
_cell_length_b 7.9329
_cell_length_c 10.3001
_cell_angle_alpha 104.93
_cell_angle_beta 90.00
_cell_angle_gamma 90.00
loop_
_atom_site_label
_atom_site_type_symbol
_atom_site_fract_x
_atom_site_fract_y
_atom_site_fract_z
Ce1 Ce 0.7500 0.8749 0.0993
Ce2 Ce 0.2500 0.1251 0.9007
Ce3 Ce 0.2500 0.7370 0.5587
Ce4 Ce 0.7500 0.2630 0.4413
Ce5 Ce 0.7500 0.4864 0.1500
Ce6 Ce 0.2500 0.5136 0.8500
C1 C 0.2500 0.6663 0.0776
C2 C 0.7500 0.3337 0.9224
Se1 Se 0.2500 0.1966 0.2020
Se2 Se 0.7500 0.8034 0.7980
Cl1 Cl 0.2500 0.1487 0.6218
Cl2 Cl 0.7500 0.8513 0.3782
# Calculated total energy ... -76.94 eV/cell
# Uncorrected formation energy ... -1019 meV per atom

---

[3]
# GGA-PBE Ce4CSe2Cl, optimized geometry
data_Ce4CSe2Cl
_space_group_name_H-M_alt 'P 1'
_space_group_IT_number 1
_space_group_name_Hall 'P 1'
_cell_length_a 3.9628
_cell_length_b 7.0116
_cell_length_c 7.0444
_cell_angle_alpha 108.54
_cell_angle_beta 90.00
_cell_angle_gamma 90.00
loop_
_atom_site_label
_atom_site_type_symbol
_atom_site_fract_x
_atom_site_fract_y
_atom_site_fract_z
Ce1 Ce 0.5000 0.2656 0.2252
Ce2 Ce 0.5000 0.7344 0.7748
Ce3 Ce 0.0000 0.2831 0.7874
Ce4 Ce 0.0000 0.7169 0.2126
C1 C 0.5000 0.5000 0.0000
Se1 Se 0.5000 0.0000 0.5000
Se2 Se 0.0000 0.5000 0.5000
Cl1 Cl 0.0000 0.0000 0.0000
# Calculated total energy ... -52.36 eV/cell
# Uncorrected formation energy ... -1323 meV per atom

---

[4]
# GGA-PBE Ce6C2SeCl3, optimized geometry
data_Ce6C2SeCl3
_space_group_name_H-M_alt 'P 1'
_space_group_IT_number 1
_space_group_name_Hall 'P 1'
_cell_length_a 3.8161
_cell_length_b 8.3401
_cell_length_c 9.0338
_cell_angle_alpha 106.16
_cell_angle_beta 102.19
_cell_angle_gamma 90.00
loop_
_atom_site_label
_atom_site_type_symbol
_atom_site_fract_x
_atom_site_fract_y
_atom_site_fract_z
Ce1 Ce 0.3284 0.8641 0.6567
Ce2 Ce 0.6780 0.5560 0.3560
Ce3 Ce 0.6716 0.1359 0.3433
Ce4 Ce 0.0226 0.2662 0.0453
Ce5 Ce 0.9774 0.7338 0.9547
Ce6 Ce 0.3220 0.4440 0.6440
C1 C 0.8284 0.6618 0.6568
C2 C 0.1716 0.3382 0.3432
Se1 Se 0.5000 0.0000 0.0000
Cl1 Cl 0.5000 0.5000 0.0000
Cl2 Cl 0.8402 0.1669 0.6803
Cl3 Cl 0.1598 0.8331 0.3197
# Calculated total energy ... -77.06 eV/cell
# Uncorrected formation energy ... -1165 meV per atom

---

[5]
# GGA-PBE Ce6SiC2Cl3, optimized geometry
data_Ce6SiC2Cl3
_space_group_name_H-M_alt 'P 1'
_space_group_IT_number 1
_space_group_name_Hall 'P 1'
_cell_length_a 3.8236
_cell_length_b 8.3556
_cell_length_c 9.1429
_cell_angle_alpha 108.11
_cell_angle_beta 102.07
_cell_angle_gamma 90.00
loop_
_atom_site_label
_atom_site_type_symbol
_atom_site_fract_x
_atom_site_fract_y
_atom_site_fract_z
Ce1 Ce 0.3316 0.8682 0.6631
Ce2 Ce 0.6794 0.5552 0.3588
Ce3 Ce 0.6684 0.1318 0.3369
Ce4 Ce 0.0217 0.2585 0.0433
Ce5 Ce 0.9783 0.7415 0.9567
Ce6 Ce 0.3206 0.4448 0.6412
Si1 Si 0.5000 0.0000 0.0000
C1 C 0.8279 0.6598 0.6557
C2 C 0.1721 0.3402 0.3443
Cl1 Cl 0.5000 0.5000 0.0000
Cl2 Cl 0.8393 0.1672 0.6785
Cl3 Cl 0.1607 0.8328 0.3215
# Calculated total energy ... -76.70 eV/cell
# Uncorrected formation energy ... -974 meV per atom

---

[6]
# GGA-PBE TbCeCCl, optimized geometry
data_TbCeCCl
_space_group_name_H-M_alt 'P 1'
_space_group_IT_number 1
_space_group_name_Hall 'P 1'
_cell_length_a 3.6360
_cell_length_b 3.6360
_cell_length_c 7.4859
_cell_angle_alpha 90.00
_cell_angle_beta 104.06
_cell_angle_gamma 120.00
loop_
_atom_site_label
_atom_site_type_symbol
_atom_site_fract_x
_atom_site_fract_y
_atom_site_fract_z
Tb1 Tb 0.0990 0.9475 0.0618
Ce1 Ce 0.5131 0.1545 0.6829
C1 C 0.3096 0.5528 0.8776
Cl1 Cl 0.9561 0.3761 0.3473
# Calculated total energy ... -25.77 eV/cell
# Uncorrected formation energy ... -1034 meV per atom